[1]
Density functional theory data (PBE) for a geometry-optimized NdSm2Sc structure.

Unit cell a=7.9878 b=7.9878 c=7.9878 alpha=90.00 beta=90.00 gamma=90.00
Space group Fm-3m (No. 225)
Inequivalent atoms, fractional coordinates:
Nd (0.0000, 0.0000, 0.0000) [4 per cell]
Sm (0.2500, 0.2500, 0.2500) [8 per cell]
Sc (0.0000, 0.0000, 0.5000) [4 per cell]

## Properties
**Spin magnetization**: 0.015 μB/f.u.
**Energy above the most stable polymorph in this dataset**: 0.112 eV per atom
**Total energy**: -79.75 eV for the cell shown
**Formation energy from the elements**: 0.1500 eV per atom

[2]
Density functional theory data (PBE) for a geometry-optimized ErTlCuSe3 structure.

Unit cell a=15.5741 b=4.8355 c=8.5035 alpha=90.00 beta=100.89 gamma=90.00
Space group C2/m (No. 12)
Inequivalent atoms, fractional coordinates:
Er (0.1436, 0.0000, 0.0516) [4 per cell]
Tl (0.1522, 0.0000, 0.5503) [4 per cell]
Cu (0.0148, 0.5000, 0.8019) [4 per cell]
Se (0.0033, 0.0000, 0.7822) [4 per cell]
Se (0.1417, 0.5000, 0.2500) [4 per cell]
Se (0.1730, 0.5000, 0.8374) [4 per cell]

## Properties
**Spin magnetization**: 0.000 μB/f.u.
**Total energy**: -106.18 eV for the cell shown

[3]
Density functional theory data (PBE) for a geometry-optimized CoRePb2Se structure.

Unit cell a=5.1989 b=5.1989 c=4.4896 alpha=90.00 beta=90.00 gamma=90.00
Space group P4/mmm (No. 123)
Inequivalent atoms, fractional coordinates:
Co (0.0000, 0.0000, 0.0000) [1 per cell]
Re (0.0000, 0.0000, 0.5000) [1 per cell]
Pb (0.0000, 0.5000, 0.0000) [2 per cell]
Se (0.5000, 0.5000, 0.5000) [1 per cell]

## Properties
**Spin magnetization**: 2.479 μB/f.u.
**Total energy**: -25.89 eV for the cell shown

[4]
Density functional theory data (PBE) for a geometry-optimized Nd2SnRh structure.

Unit cell a=3.9362 b=3.9362 c=29.5091 alpha=90.00 beta=90.00 gamma=120.00
Space group R-3m (No. 166, hexagonal axes)
Inequivalent atoms, fractional coordinates:
Nd (0.0000, 0.0000, 0.1104) [6 per cell]
Sn (0.0000, 0.0000, 0.0000) [3 per cell]
Rh (0.0000, 0.0000, 0.5000) [3 per cell]

## Properties
**Spin magnetization**: 0.000 μB/f.u.
**Total energy**: -65.87 eV for the cell shown
**Formation energy from the elements**: -0.2666 eV per atom

[5]
Density functional theory data (PBE) for a geometry-optimized BaTcTe2 structure.

Unit cell a=7.8555 b=7.8555 c=7.8555 alpha=90.00 beta=90.00 gamma=90.00
Space group F-43m (No. 216)
Inequivalent atoms, fractional coordinates:
Ba (0.0000, 0.0000, 0.0000) [4 per cell]
Tc (0.2500, 0.2500, 0.7500) [4 per cell]
Te (0.0000, 0.0000, 0.5000) [4 per cell]
Te (0.2500, 0.2500, 0.2500) [4 per cell]

## Properties
**Spin magnetization**: 4.072 μB/f.u.
**Energy above the most stable polymorph in this dataset**: 0.937 eV per atom
**Total energy**: -67.46 eV for the cell shown

[6]
Density functional theory data (PBE) for a geometry-optimized LaY2Si structure.

Unit cell a=3.9534 b=5.0298 c=11.3619 alpha=90.00 beta=90.00 gamma=90.00
Space group Imm2 (No. 44)
Inequivalent atoms, fractional coordinates:
La (0.0000, 0.0000, 0.0000) [2 per cell]
Y (0.0000, 0.0000, 0.4080) [2 per cell]
Y (0.0000, 0.5000, 0.2037) [2 per cell]
Si (0.0000, 0.5000, 0.7184) [2 per cell]

## Properties
**Spin magnetization**: 0.000 μB/f.u.
**Total energy**: -48.70 eV for the cell shown

[7]
Density functional theory data (PBE) for a geometry-optimized ZrAg2Hg structure.

Unit cell a=9.9605 b=2.9298 c=5.5067 alpha=90.00 beta=96.48 gamma=90.00
Space group C2/m (No. 12)
Inequivalent atoms, fractional coordinates:
Zr (0.0000, 0.0000, 0.0000) [2 per cell]
Ag (0.2493, 0.5000, 0.2418) [4 per cell]
Hg (0.0000, 0.5000, 0.5000) [2 per cell]

## Properties
**Spin magnetization**: 0.000 μB/f.u.
**Total energy**: -29.05 eV for the cell shown
**Formation energy from the elements**: 0.0072 eV per atom

[8]
Density functional theory data (PBE) for a geometry-optimized IrRh2Br structure.

Unit cell a=6.3190 b=6.3190 c=6.3190 alpha=90.00 beta=90.00 gamma=90.00
Space group F-43m (No. 216)
Inequivalent atoms, fractional coordinates:
Ir (0.0000, 0.0000, 0.0000) [4 per cell]
Rh (0.0000, 0.0000, 0.5000) [4 per cell]
Rh (0.2500, 0.2500, 0.2500) [4 per cell]
Br (0.2500, 0.2500, 0.7500) [4 per cell]

## Properties
**Spin magnetization**: 0.356 μB/f.u.
**Energy above the most stable polymorph in this dataset**: 0.513 eV per atom
**Total energy**: -86.70 eV for the cell shown

[9]
Density functional theory data (PBE) for a geometry-optimized Ba6BiPt2Cl3 structure.

Unit cell a=20.8326 b=4.6928 c=9.7056 alpha=90.00 beta=105.24 gamma=90.00
Space group C2/m (No. 12)
Inequivalent atoms, fractional coordinates:
Ba (0.0097, 0.0000, 0.2584) [4 per cell]
Ba (0.1704, 0.5000, 0.1104) [4 per cell]
Ba (0.1754, 0.5000, 0.5680) [4 per cell]
Bi (0.0000, 0.5000, 0.0000) [2 per cell]
Pt (0.1692, 0.0000, 0.3384) [4 per cell]
Cl (0.0000, 0.5000, 0.5000) [2 per cell]
Cl (0.1644, 0.0000, 0.8356) [4 per cell]

## Properties
**Spin magnetization**: 0.001 μB/f.u.
**Total energy**: -99.48 eV for the cell shown

[10]
Density functional theory data (PBE) for a geometry-optimized LiMg structure.

Unit cell a=3.5010 b=4.8573 c=9.5868 alpha=90.00 beta=90.00 gamma=90.00
Space group Imma (No. 74)
Inequivalent atoms, fractional coordinates:
Li (0.0000, 0.2500, 0.1339) [4 per cell]
Mg (0.0000, 0.2500, 0.6160) [4 per cell]

## Properties
**Spin magnetization**: 0.000 μB/f.u.
**Total energy**: -14.48 eV for the cell shown
**Formation energy from the elements**: -0.0556 eV per atom

[11]
Density functional theory data (PBE) for a geometry-optimized YTa3Tc structure.

Unit cell a=4.8753 b=4.8753 c=4.8753 alpha=90.00 beta=90.00 gamma=90.00
Space group Pm-3m (No. 221)
Inequivalent atoms, fractional coordinates:
Y (0.0000, 0.0000, 0.0000) [1 per cell]
Ta (0.0000, 0.5000, 0.5000) [3 per cell]
Tc (0.5000, 0.5000, 0.5000) [1 per cell]

## Properties
**Spin magnetization**: 0.000 μB/f.u.
**Energy above the most stable polymorph in this dataset**: 0.000 eV per atom
**Total energy**: -48.44 eV for the cell shown
**Formation energy from the elements**: 0.7888 eV per atom

[12]
Density functional theory data (PBE) for a geometry-optimized SmYO3 structure.

Unit cell a=6.0101 b=5.8736 c=8.4990 alpha=90.00 beta=90.00 gamma=90.00
Space group Pna2_1 (No. 33)
Inequivalent atoms, fractional coordinates:
Sm (0.0362, 0.0054, 0.0000) [4 per cell]
Y (0.0190, 0.5008, 0.2673) [4 per cell]
O (0.0833, 0.3664, 0.5260) [4 per cell]
O (0.1267, 0.8486, 0.7271) [4 per cell]
O (0.2340, 0.7935, 0.3669) [4 per cell]

## Properties
**Spin magnetization**: 0.000 μB/f.u.
**Total energy**: -172.91 eV for the cell shown

[13]
Density functional theory data (PBE) for a geometry-optimized KTl2Sb structure.

Unit cell a=8.1135 b=8.1135 c=8.1135 alpha=90.00 beta=90.00 gamma=90.00
Space group F-43m (No. 216)
Inequivalent atoms, fractional coordinates:
K (0.0000, 0.0000, 0.0000) [4 per cell]
Tl (0.0000, 0.0000, 0.5000) [4 per cell]
Tl (0.2500, 0.2500, 0.7500) [4 per cell]
Sb (0.2500, 0.2500, 0.2500) [4 per cell]

## Properties
**Spin magnetization**: 0.000 μB/f.u.
**Total energy**: -41.72 eV for the cell shown

[14]
Density functional theory data (PBE) for a geometry-optimized TmHfCr4 structure.

Unit cell a=7.1917 b=7.1917 c=7.1917 alpha=90.00 beta=90.00 gamma=90.00
Space group F-43m (No. 216)
Inequivalent atoms, fractional coordinates:
Tm (0.0000, 0.0000, 0.0000) [4 per cell]
Hf (0.2500, 0.2500, 0.2500) [4 per cell]
Cr (0.1251, 0.1251, 0.6251) [16 per cell]

## Properties
**Spin magnetization**: 0.000 μB/f.u.
**Total energy**: -209.06 eV for the cell shown
**Formation energy from the elements**: 0.1090 eV per atom